# 1
Compound: Cu2PtAu
Source: the Alexandria database
Functional: PBEsol
Structure: optimized geometry

abc: 2.873 4.325 5.104
angles: 115.07 106.34 90.00
Sites, in units of the cell vectors:
1 Cu 0.739 0.239 0.479
2 Cu 0.011 0.011 0.023
3 Pt 0.488 0.488 0.977
4 Au 0.261 0.761 0.522

Results
Space group ... Imm2, No. 44
DFT formation energy ... -0.0517 eV/atom
Fermi-level density of states ... 0.37 states/eV/atom
Magnetic moment ... 0.000 μB/atom



# 2
Compound: Cu2PtAu
Source: the Alexandria database
Functional: PBEsol
Structure: optimized geometry

abc: 3.963 4.465 3.963
angles: 63.66 90.00 116.34
Sites, in units of the cell vectors:
1 Pt 0.500 0.000 0.500
2 Cu 0.750 0.500 0.750
3 Cu 0.250 0.500 0.250
4 Au 0.000 0.000 0.000

Results
Space group ... I4/mmm, No. 139
DFT formation energy ... -0.1060 eV/atom
Fermi-level density of states ... 0.31 states/eV/atom
Magnetic moment ... 0.000 μB/atom



# 3
Compound: CuPt2Au
Source: the Alexandria database
Functional: PBEsol
Structure: optimized geometry

abc: 2.770 2.770 7.598
angles: 90.00 90.00 90.00
Sites, in units of the cell vectors:
1 Au 0.000 0.000 0.517
2 Pt 0.000 0.000 0.984
3 Pt 0.500 0.500 0.243
4 Cu 0.500 0.500 0.756

Results
Space group ... P4mm, No. 99
DFT formation energy ... -0.0374 eV/atom
Fermi-level density of states ... 1.10 states/eV/atom
Magnetic moment ... 0.000 μB/atom



# 4
Compound: Cu2PtAu
Source: the Alexandria database
Functional: PBEsol
Structure: optimized geometry

abc: 2.689 4.119 5.134
angles: 90.00 104.99 90.00
Sites, in units of the cell vectors:
1 Pt 0.542 0.000 0.461
2 Au 0.206 0.500 0.783
3 Cu 0.812 0.000 0.994
4 Cu 0.941 0.500 0.262

Results
Space group ... Pm, No. 6
DFT formation energy ... -0.0458 eV/atom
Fermi-level density of states ... 0.33 states/eV/atom
Magnetic moment ... 0.000 μB/atom